Compound: Dy2Cu3NiGe4
Source: Alexandria
Functional: PBE
Structure: relaxed

Energy of formation from the pure elements ... -0.508 eV per atom
D(E_F) ... 4.491 states/eV/cell

Unit cell a=4.0874 b=4.0874 c=10.1157 alpha=90.00 beta=90.00 gamma=90.00
Atoms (fractional coordinates):
Dy1 0.5000 0.0000 0.2590
Cu1 0.0000 0.5000 0.1379
Dy2 0.0000 0.5000 0.7410
Ge1 0.0000 0.5000 0.3722
Ge2 0.5000 0.5000 0.0000
Cu2 0.5000 0.0000 0.8621
Ni1 0.5000 0.5000 0.5000
Cu3 0.0000 0.0000 0.5000
Ge3 0.0000 0.0000 0.0000
Ge4 0.5000 0.0000 0.6278

Compound: Dy2CuNi3Ge4
Source: Alexandria
Functional: PBE
Structure: relaxed

Energy of formation from the pure elements ... -0.648 eV per atom
D(E_F) ... 4.557 states/eV/cell

Unit cell a=4.0901 b=4.0901 c=9.7447 alpha=90.00 beta=90.00 gamma=90.00
Atoms (fractional coordinates):
Ni1 0.0000 0.5000 0.1242
Ge1 0.5000 0.5000 0.0000
Dy1 0.0000 0.5000 0.7494
Cu1 0.5000 0.5000 0.5000
Ge2 0.0000 0.5000 0.3638
Dy2 0.5000 0.0000 0.2506
Ni2 0.5000 0.0000 0.8758
Ge3 0.0000 0.0000 0.0000
Ni3 0.0000 0.0000 0.5000
Ge4 0.5000 0.0000 0.6362

Compound: DyCuNi5Ge2
Source: Alexandria
Functional: PBE
Structure: relaxed

Energy of formation from the pure elements ... -0.102 eV per atom
D(E_F) ... 2.206 states/eV/cell

Unit cell a=3.8044 b=3.8044 c=8.9867 alpha=90.00 beta=90.00 gamma=90.00
Atoms (fractional coordinates):
Ni1 0.5000 0.0000 0.7216
Ni2 0.0000 0.5000 0.7216
Ge1 0.5000 0.5000 0.1326
Ni3 0.5000 0.0000 0.2784
Ni4 0.0000 0.5000 0.2784
Ge2 0.5000 0.5000 0.8674
Ni5 0.5000 0.5000 0.5000
Cu1 0.0000 0.0000 0.0000
Dy1 0.0000 0.0000 0.5000

Compound: Dy2CuGe2O8
Source: Alexandria
Functional: PBE
Structure: relaxed

Energy relative to the elements, uncorrected ... -2.284 eV per atom

Unit cell a=8.9372 b=8.9372 c=5.1659 alpha=74.20 beta=74.20 gamma=115.19
Atoms (fractional coordinates):
O1 0.9548 0.7673 0.5566
O2 0.2491 0.7315 0.5577
Cu1 0.0770 0.6635 0.3689
Ge1 0.1062 0.5294 0.9212
O3 0.9002 0.3663 0.9300
O4 0.2466 0.4306 0.7526
O5 0.9909 0.6511 0.0696
Dy1 0.4501 0.6901 0.2169
O6 0.5083 0.5083 0.0238
O7 0.6640 0.6640 0.3494
O8 0.6511 0.9909 0.0696
O9 0.7673 0.9548 0.5566
Ge2 0.5294 0.1062 0.9212
Ge3 0.3360 0.3360 0.9792
O10 0.1564 0.4980 0.2453
Dy2 0.1944 0.9534 0.6713
O11 0.0048 0.0048 0.9737
O12 0.3663 0.9002 0.9300
O13 0.4980 0.1564 0.2453
O14 0.4306 0.2466 0.7526
Dy3 0.6901 0.4501 0.2169
Cu2 0.6635 0.0770 0.3689
Dy4 0.9534 0.1944 0.6713
Ge4 0.8478 0.8478 0.3598
O15 0.7315 0.2491 0.5577
O16 0.1680 0.1680 0.3491

Compound: Dy2CuGe4O12
Source: Alexandria
Functional: PBE
Structure: relaxed

Energy relative to the elements, uncorrected ... -2.080 eV per atom

Unit cell a=4.9903 b=7.2874 c=8.0182 alpha=113.69 beta=86.83 gamma=103.26
Atoms (fractional coordinates):
O1 0.7743 0.0667 0.6115
O2 0.5813 0.6570 0.2944
Dy1 0.0462 0.2303 0.4511
Ge1 0.4175 0.6160 0.7965
Cu1 0.0000 0.0000 0.0000
O3 0.2581 0.2225 0.1931
Ge2 0.4599 0.8312 0.2247
O4 0.2474 0.9939 0.7969
O5 0.2672 0.6862 0.0125
O6 0.2050 0.5756 0.6132
Ge3 0.5825 0.3840 0.2035
O7 0.2257 0.9333 0.3885
Dy2 0.9538 0.7697 0.5489
O8 0.7526 0.0061 0.2031
O9 0.7419 0.7775 0.8069
O10 0.4187 0.3430 0.7056
Ge4 0.5401 0.1688 0.7753
O11 0.7950 0.4244 0.3868
O12 0.7328 0.3138 0.9875

Compound: DyCuGe2Os
Source: Alexandria
Functional: PBE
Structure: relaxed

Energy of formation from the pure elements ... -0.342 eV per atom
D(E_F) ... 2.518 states/eV/cell

Unit cell a=4.0859 b=4.0859 c=6.0013 alpha=109.90 beta=109.90 gamma=90.00
Atoms (fractional coordinates):
Ge1 0.3802 0.3802 0.7603
Dy1 0.0000 0.0000 0.0000
Ge2 0.6198 0.6198 0.2397
Os1 0.7500 0.2500 0.5000
Cu1 0.2500 0.7500 0.5000